SrZn2Rh2 | GGA-PBE | relaxed

**Space group**: C2/c, No. 15
**Total magnetic moment**: 0.00 μB per atom
**Offset from the most stable computed form**: 21 meV/atom
**Total DFT energy (no corrections)**: -4.108 eV/atom
**Crystal system**: monoclinic
**Calculated volume**: 203 Å³ per cell
**DOS(E_F)**: 0.48 states/eV per atom
**ΔE_f**: -0.32 eV/atom

Cell lengths 6.033, 6.033, 7.294 Å; angles 100.28, 100.28, 124.33 degrees
Fractional coordinates of all 10 atoms:
Sr 0.125 0.875 0.750
Sr 0.875 0.125 0.250
Zn 0.177 0.823 0.250
Zn 0.429 0.571 0.750
Zn 0.571 0.429 0.250
Zn 0.823 0.177 0.750
Rh 0.268 0.520 0.038
Rh 0.480 0.732 0.462
Rh 0.520 0.268 0.538
Rh 0.732 0.480 0.962